(1)
DFT (PBE) results for a relaxed structure of CrNiBr2.

Output
Energy above the lowest structure with this stoichiometry = 0.379 eV per atom
DOS at the Fermi energy = 4.501 states/eV/cell
Electronic total energy = -4.404 eV per atom
Symmetry = Pmmm, No. 47
Raw formation energy = 0.284 eV/atom

a b c (Å): 3.601 3.732 6.646
angles (deg): 90.00 90.00 90.00
Element x y z (fractional)
1 Cr 0.000 0.000 0.000
2 Ni 0.500 0.000 0.500
3 Br 0.000 0.500 0.500
4 Br 0.500 0.500 0.000


(2)
DFT (PBE) results for a relaxed structure of Sn2ClO.

Output
Energy above the lowest structure with this stoichiometry = 0.100 eV per atom
DOS at the Fermi energy = 11.409 states/eV/cell
Electronic total energy = -4.264 eV per atom
Symmetry = I-42d, No. 122
Raw formation energy = -0.562 eV/atom

a b c (Å): 5.546 5.546 14.180
angles (deg): 90.00 90.00 90.00
Element x y z (fractional)
1 Sn 0.120 0.250 0.125
2 Sn 0.250 0.620 0.375
3 Sn 0.250 0.880 0.875
4 Sn 0.380 0.250 0.625
5 Sn 0.620 0.750 0.625
6 Sn 0.750 0.120 0.875
7 Sn 0.750 0.380 0.375
8 Sn 0.880 0.750 0.125
9 Cl 0.000 0.000 0.500
10 Cl 0.000 0.500 0.750
11 Cl 0.500 0.000 0.250
12 Cl 0.500 0.500 0.000
13 O 0.000 0.000 0.000
14 O 0.000 0.500 0.250
15 O 0.500 0.000 0.750
16 O 0.500 0.500 0.500